# Rb2AuICl6

Crystalline Rb2AuICl6 at its relaxed geometry (PBE, Alexandria).

The structure in POSCAR format:
```
Rb2AuICl6
1.0
-3.8707 3.8707 5.7759
3.8707 -3.8707 5.7759
3.8707 3.8707 -5.7759
Rb Au I Cl
2 1 1 6
direct
0.2500 0.7500 0.5000
0.7500 0.2500 0.5000
0.0000 0.0000 0.0000
0.5000 0.5000 0.0000
0.2023 0.2023 0.0000
0.2636 0.2636 0.5272
0.2636 0.7364 0.0000
0.7364 0.2636 0.0000
0.7364 0.7364 0.4728
0.7977 0.7977 0.0000
```

## Properties
raw formation energy: -919 meV/atom
electronic total energy: -2.7028 eV/atom
mass density: 3.39 g cm⁻³
V: 346.1 Å³/cell